Entry 1:
Below is a geometry-optimized HfAuF structure, with properties calculated at the GGA-PBE level.

For the total energy, the calculation gives -6.36 eV per atom. The density of states at the Fermi level comes out at 1.64 states/eV/f.u. The formation energy (no corrections) comes out at -1.3266 eV/atom.

The space group is P-6m2 (No. 187) and the conventional cell measures 3.7636, 3.7636 and 4.0846 Å, with angles of 90.00, 90.00 and 120.00 degrees. Symmetry generates all atoms from Hf at (0.0000, 0.0000, 0.0000), Au at (0.3333, 0.6667, 0.5000) and F at (0.6667, 0.3333, 0.0000).

Entry 2:
Below is a geometry-optimized V2HIrPd structure, with properties calculated at the GGA-PBE level.

For the total energy, the calculation gives -7.39 eV per atom. The density of states at the Fermi level comes out at 3.10 states/eV/f.u. Its energy above the most stable polymorph in this dataset is 0 meV per atom.

The space group is P4/mmm (No. 123) and the conventional cell measures 3.8658, 3.8658 and 3.8714 Å, with angles of 90.00, 90.00 and 90.00 degrees. Symmetry generates all atoms from V at (0.0000, 0.5000, 0.0000), H at (0.0000, 0.0000, 0.0000), Ir at (0.5000, 0.5000, 0.5000) and Pd at (0.0000, 0.0000, 0.5000).

Entry 3:
Below is a geometry-optimized KInFe2Ni structure, with properties calculated at the GGA-PBE level.

For the total energy, the calculation gives -4.30 eV per atom. The density of states at the Fermi level comes out at 7.18 states/eV/f.u. The energy relative to the elements comes out at 1.006 eV per atom.

The space group is P4/mmm (No. 123) and the conventional cell measures 4.5996, 4.5996 and 5.4654 Å, with angles of 90.00, 90.00 and 90.00 degrees. Symmetry generates all atoms from K at (0.0000, 0.0000, 0.0000), In at (0.5000, 0.5000, 0.0000), Fe at (0.0000, 0.5000, 0.5000) and Ni at (0.0000, 0.0000, 0.5000).

Entry 4:
Below is a geometry-optimized ThPa2Pd structure, with properties calculated at the GGA-PBE level.

For the total energy, the calculation gives -7.70 eV per atom. The density of states at the Fermi level comes out at 7.38 states/eV/f.u. The energy relative to the elements comes out at 0.199 eV per atom. Its energy above the most stable polymorph in this dataset is 299 meV per atom.

The space group is R-3m (No. 166, hexagonal axes) and the conventional cell measures 3.2414, 3.2414 and 33.2862 Å, with angles of 90.00, 90.00 and 120.00 degrees. Symmetry generates all atoms from Th at (0.0000, 0.0000, 0.0000), Pa at (0.0000, 0.0000, 0.4196) and Pd at (0.0000, 0.0000, 0.5000).